*P*
Compound: NdYMgAu
Source: Alexandria
Functional: PBE
Structure: relaxed

a = 3.755 Å, b = 3.755 Å, c = 7.428 Å
α = 90.00°, β = 90.00°, γ = 90.00°
Sites, in units of the cell vectors:
Nd (0.000, 0.000, 0.000)
Y (0.000, 0.000, 0.471)
Mg (0.500, 0.500, 0.726)
Au (0.500, 0.500, 0.257)

Its calculated volume is 26.18 Å³/atom. Its density of states at the Fermi level is 0.92 states/eV/atom. The space group is P4mm (99).

*Q*
Compound: NdYMgAu
Source: Alexandria
Functional: PBE
Structure: relaxed

a = 7.476 Å, b = 7.476 Å, c = 7.476 Å
α = 90.00°, β = 90.00°, γ = 90.00°
Sites, in units of the cell vectors:
Nd (0.000, 0.000, 0.000)
Nd (0.000, 0.500, 0.500)
Nd (0.500, 0.000, 0.500)
Nd (0.500, 0.500, 0.000)
Y (0.000, 0.000, 0.500)
Y (0.000, 0.500, 0.000)
Y (0.500, 0.000, 0.000)
Y (0.500, 0.500, 0.500)
Mg (0.250, 0.250, 0.750)
Mg (0.250, 0.750, 0.250)
Mg (0.750, 0.250, 0.250)
Mg (0.750, 0.750, 0.750)
Au (0.250, 0.250, 0.250)
Au (0.250, 0.750, 0.750)
Au (0.750, 0.250, 0.750)
Au (0.750, 0.750, 0.250)

Its calculated volume is 26.11 Å³/atom. Its density of states at the Fermi level is 0.76 states/eV/atom. The space group is F-43m (216).

Consider the structures shown above. The least stable of them is *Q*.